Entry 1:
## Cu2Re2Si (PBE)

Data for a relaxed Cu2Re2Si crystal.

As for the density of states at the Fermi level: 3.83 states/eV/f.u. For the distance to the lowest polymorph of the same formula, the calculation gives 325 meV per atom. Its uncorrected formation energy is 74 kJ per mole of atoms. The calculated volume is 15.83 Å³/atom.

The space group is I4/mmm (No. 139) and the conventional cell measures 3.5291, 3.5291 and 12.7081 Å, with angles of 90.00, 90.00 and 90.00 degrees. The distinct sites, in fractional coordinates, are Cu at (0.0000, 0.0000, 0.0927), Re at (0.0000, 0.5000, 0.2500) and Si at (0.0000, 0.0000, 0.5000).

Entry 2:
## BaCa2Mg2Tl2 (PBE)

Data for a relaxed BaCa2Mg2Tl2 crystal.

The calculation puts the formation energy at -0.252 eV per atom. As for the density of states at the Fermi level: 3.95 states/eV/f.u. The calculated volume is 33.29 Å³/atom.

The space group is R-3m (No. 166, hexagonal axes) and the conventional cell measures 5.1459, 5.1459 and 30.4878 Å, with angles of 90.00, 90.00 and 120.00 degrees. The distinct sites, in fractional coordinates, are Ba at (0.0000, 0.0000, 0.0000), Ca at (0.0000, 0.0000, 0.1324), Mg at (0.0000, 0.0000, 0.4144) and Tl at (0.0000, 0.0000, 0.2489).

Entry 3:
## TiNi4As2 (PBE)

Data for a relaxed TiNi4As2 crystal.

The calculation puts the formation energy at 0.574 eV per atom. As for the density of states at the Fermi level: 5.56 states/eV/f.u. The calculated volume is 16.54 Å³/atom.

The space group is I4/mmm (No. 139) and the conventional cell measures 4.3661, 4.3661 and 12.1442 Å, with angles of 90.00, 90.00 and 90.00 degrees. The distinct sites, in fractional coordinates, are Ti at (0.0000, 0.0000, 0.0000), Ni at (0.0000, 0.0000, 0.1895), Ni at (0.0000, 0.5000, 0.0000) and As at (0.0000, 0.0000, 0.3810).

Entry 4:
## Ba2AcPaSe6 (PBE)

Data for a relaxed Ba2AcPaSe6 crystal.

Its uncorrected formation energy is -176 kJ per mole of atoms. The calculated volume is 34.51 Å³/atom.

The space group is P2_1/c (No. 14) and the conventional cell measures 7.6372, 8.1439 and 13.4287 Å, with angles of 90.00, 124.28 and 90.00 degrees. The distinct sites, in fractional coordinates, are Ba at (0.2235, 0.0775, 0.2502), Ac at (0.5000, 0.0000, 0.0000), Pa at (0.0000, 0.0000, 0.5000), Se at (0.1164, 0.2106, 0.9380), Se at (0.2373, 0.6850, 0.9435) and Se at (0.3483, 0.0360, 0.7360).

Entry 5:
## Tl2InNiCl (PBE)

Data for a relaxed Tl2InNiCl crystal.

As for the density of states at the Fermi level: 0.62 states/eV/f.u. Its uncorrected formation energy is -31 kJ per mole of atoms. The calculated volume is 26.62 Å³/atom.

The space group is P4/mmm (No. 123) and the conventional cell measures 5.1422, 5.1422 and 5.0327 Å, with angles of 90.00, 90.00 and 90.00 degrees. The distinct sites, in fractional coordinates, are Tl at (0.0000, 0.5000, 0.0000), In at (0.0000, 0.0000, 0.5000), Ni at (0.0000, 0.0000, 0.0000) and Cl at (0.5000, 0.5000, 0.5000).

Entry 6:
## BaNpTe3 (PBE)

Data for a relaxed BaNpTe3 crystal.

As for the density of states at the Fermi level: 10.68 states/eV/f.u. For the distance to the lowest polymorph of the same formula, the calculation gives 134 meV per atom. Its uncorrected formation energy is -89 kJ per mole of atoms. The calculated volume is 40.63 Å³/atom.

The space group is Pm-3m (No. 221) and the conventional cell measures 5.8784, 5.8784 and 5.8784 Å, with angles of 90.00, 90.00 and 90.00 degrees. The distinct sites, in fractional coordinates, are Ba at (0.0000, 0.0000, 0.0000), Np at (0.5000, 0.5000, 0.5000) and Te at (0.0000, 0.5000, 0.5000).

Entry 7:
## BaCaTlSb (PBE)

Data for a relaxed BaCaTlSb crystal.

As for the density of states at the Fermi level: 3.86 states/eV/f.u. Its uncorrected formation energy is -56 kJ per mole of atoms. The calculated volume is 34.16 Å³/atom.

The space group is F-43m (No. 216) and the conventional cell measures 8.1764, 8.1764 and 8.1764 Å, with angles of 90.00, 90.00 and 90.00 degrees. The distinct sites, in fractional coordinates, are Ba at (0.0000, 0.0000, 0.0000), Ca at (0.0000, 0.0000, 0.5000), Tl at (0.2500, 0.2500, 0.7500) and Sb at (0.2500, 0.2500, 0.2500).

Entry 8:
## Rb2CuSBr6 (PBE)

Data for a relaxed Rb2CuSBr6 crystal.

As for the density of states at the Fermi level: 4.84 states/eV/f.u. Its uncorrected formation energy is -71 kJ per mole of atoms. The calculated volume is 31.65 Å³/atom.

The space group is I4/mmm (No. 139) and the conventional cell measures 7.4948, 7.4948 and 11.2686 Å, with angles of 90.00, 90.00 and 90.00 degrees. The distinct sites, in fractional coordinates, are Rb at (0.0000, 0.5000, 0.2500), Cu at (0.0000, 0.0000, 0.0000), S at (0.0000, 0.0000, 0.5000), Br at (0.0000, 0.0000, 0.2086) and Br at (0.2378, 0.2378, 0.5000).